Here is a relaxed LaTb2Ho crystal from the Alexandria database. Energies are from PBE.

The structure in POSCAR format:
```
LaTb2Ho
1.0
3.605 0.000 0.000
0.000 3.605 0.000
0.000 0.000 10.167
Tb Ho La
2 1 1
Cartesian
0.000 0.000 7.702
0.000 0.000 2.465
1.802 1.802 0.000
1.802 1.802 5.083
```

Properties
* calculated total energy: -4.663 eV/atom
* total moment: 0.000 μB/atom
* distance to the lowest polymorph of the same formula: 20.8 meV per atom
* calculated volume: 33.0 A^3/atom
* formation energy: 0.1 eV/f.u.

Here is a relaxed Pm12Ge6O crystal from the Alexandria database. Energies are from PBE.

The structure in POSCAR format:
```
Pm12Ge6O
1.0
8.330 -0.020 -0.024
-1.283 8.230 -0.024
-1.283 -1.494 8.093
Pm Ge O
12 6 1
Cartesian
5.482 4.059 3.524
1.879 5.835 4.623
3.181 2.389 6.567
0.282 2.657 4.522
3.885 0.881 3.422
2.584 4.327 1.479
-1.048 7.563 2.462
-1.870 4.314 7.497
4.547 7.589 0.165
6.812 -0.847 5.584
7.634 2.402 0.549
1.217 -0.873 7.881
4.291 6.656 2.957
4.715 2.214 0.968
-0.164 4.745 2.351
1.474 0.060 5.088
1.050 4.502 7.077
5.929 1.971 5.694
0.000 0.000 0.000
```

Properties
* calculated total energy: -5.459 eV/atom
* energy relative to the elements, uncorrected: -0.740 eV/atom
* total moment: 0.001 μB/atom
* calculated volume: 29.2 A^3/atom

Here is a relaxed Sr6Tl5Sb crystal from the Alexandria database. Energies are from PBE.

The structure in POSCAR format:
```
Sr6Tl5Sb
1.0
5.522 -0.033 1.840
0.043 7.975 0.014
-0.045 -0.016 9.340
Sr Tl Sb
6 5 1
Cartesian
4.643 5.952 4.584
4.622 1.957 4.577
2.771 1.904 0.924
2.794 6.038 0.931
0.898 5.968 6.618
0.877 1.974 6.611
3.679 3.955 7.442
1.745 -0.016 3.968
0.021 3.987 0.007
3.732 -0.033 7.213
1.841 3.971 3.753
0.000 0.000 0.000
```

Properties
* calculated total energy: -2.692 eV/atom
* energy relative to the elements, uncorrected: -0.522 eV/atom
* total moment: 0.000 μB/atom
* calculated volume: 34.3 A^3/atom

Here is a relaxed ZnPtW crystal from the Alexandria database. Energies are from PBE.

The structure in POSCAR format:
```
ZnPtW
1.0
4.391 0.000 0.000
-2.196 3.803 0.000
0.000 0.000 2.704
Pt W Zn
1 1 1
Cartesian
0.000 0.000 2.252
2.196 1.268 0.901
0.000 2.535 2.255
```

Properties
* calculated total energy: -6.800 eV/atom
* total moment: 0.000 μB/atom
* distance to the lowest polymorph of the same formula: 81.3 meV per atom
* calculated volume: 15.0 A^3/atom
* formation energy: -0.1 eV/f.u.

Here is a relaxed RbScPb crystal from the Alexandria database. Energies are from PBE.

The structure in POSCAR format:
```
RbScPb
1.0
-0.793 4.387 2.550
0.089 -2.569 4.447
8.194 2.140 4.039
Pb Sc Rb
2 2 2
Cartesian
6.570 1.906 3.936
0.920 2.052 7.100
0.044 -1.284 2.223
-0.397 2.194 1.275
4.785 2.608 7.344
2.705 1.349 3.692
```

Properties
* calculated total energy: -3.780 eV/atom
* total moment: 0.006 μB/atom
* distance to the lowest polymorph of the same formula: 126.5 meV per atom
* calculated volume: 38.0 A^3/atom
* formation energy: -0.3 eV/f.u.

Here is a relaxed ScMnIN2 crystal from the Alexandria database. Energies are from PBE.

The structure in POSCAR format:
```
ScMnIN2
1.0
-1.649 2.203 -2.684
-3.471 -1.139 1.197
-0.147 3.951 3.334
I Sc Mn N
1 1 1 2
Cartesian
-0.074 1.976 1.667
-2.634 2.508 0.923
0.000 0.000 0.000
-1.735 -0.570 0.598
-0.824 1.102 -1.342
```

Properties
* calculated total energy: -6.189 eV/atom
* energy relative to the elements, uncorrected: 0.551 eV/atom
* total moment: 0.000 μB/atom
* distance to the lowest polymorph of the same formula: 0.0 meV per atom
* calculated volume: 15.3 A^3/atom

Here is a relaxed Sr2SI crystal from the Alexandria database. Energies are from PBE.

The structure in POSCAR format:
```
Sr2SI
1.0
4.366 0.000 0.000
-2.183 3.781 0.000
0.000 0.000 15.712
Sr S I
4 2 2
Cartesian
0.000 2.521 6.298
2.183 1.260 14.154
2.183 1.260 9.413
0.000 2.521 1.558
0.000 0.000 7.856
0.000 0.000 0.000
2.183 1.260 3.928
0.000 2.521 11.784
```

Properties
* calculated total energy: -3.884 eV/atom
* energy relative to the elements, uncorrected: -1.624 eV/atom
* total moment: 0.000 μB/atom
* distance to the lowest polymorph of the same formula: 0.0 meV per atom
* calculated volume: 32.4 A^3/atom

Here is a relaxed AlAgCl2 crystal from the Alexandria database. Energies are from PBE.

The structure in POSCAR format:
```
AlAgCl2
1.0
-6.363 -5.088 1.872
-3.695 -5.155 5.445
-6.560 -1.787 4.864
Al Ag Cl
1 1 2
Cartesian
-8.309 -6.015 6.091
0.000 0.000 0.000
-14.975 -10.842 10.977
-1.643 -1.189 1.204
```

Properties
* calculated total energy: -2.875 eV/atom
* energy relative to the elements, uncorrected: -0.304 eV/atom
* total moment: 0.000 μB/atom
* distance to the lowest polymorph of the same formula: 442.4 meV per atom
* calculated volume: 34.2 A^3/atom